Entry from Alexandria: LaPm4Pu3S8 after structural relaxation (PBE).

a b c (Å): 8.0571 8.0571 8.0571
angles (deg): 59.79 59.79 59.79
Element x y z (fractional)
La (0.0000, 0.0000, 0.0000)
Pm (0.0000, 0.0000, 0.5000)
Pm (0.0000, 0.5000, 0.0000)
Pm (0.5000, 0.0000, 0.0000)
Pm (0.5000, 0.5000, 0.5000)
Pu (0.0000, 0.5000, 0.5000)
Pu (0.5000, 0.0000, 0.5000)
Pu (0.5000, 0.5000, 0.0000)
S (0.2527, 0.2527, 0.2527)
S (0.2527, 0.2527, 0.7428)
S (0.2527, 0.7428, 0.2527)
S (0.2572, 0.7473, 0.7473)
S (0.7428, 0.2527, 0.2527)
S (0.7473, 0.2572, 0.7473)
S (0.7473, 0.7473, 0.2572)
S (0.7473, 0.7473, 0.7473)

Computed properties:
DOS(E_F): 25.936 states/eV/f.u.
Energy relative to the elements, uncorrected: -1.961 eV per atom
Final energy: -131.3 eV/cell
Space group: R-3m (166)

***

Entry from Alexandria: CaAcH8Pt2 after structural relaxation (PBE).

a b c (Å): 7.9424 7.9424 7.9424
angles (deg): 34.17 34.17 34.17
Element x y z (fractional)
Ca (0.0000, 0.0000, 0.0000)
Ac (0.5000, 0.5000, 0.5000)
H (0.0155, 0.4542, 0.4542)
H (0.1745, 0.1745, 0.1745)
H (0.4542, 0.0155, 0.4542)
H (0.4542, 0.4542, 0.0155)
H (0.5458, 0.5458, 0.9845)
H (0.5458, 0.9845, 0.5458)
H (0.8255, 0.8255, 0.8255)
H (0.9845, 0.5458, 0.5458)
Pt (0.2496, 0.2496, 0.2496)
Pt (0.7504, 0.7504, 0.7504)

Computed properties:
DOS(E_F): 1.253 states/eV/f.u.
Final energy: -48.7 eV/cell
Space group: R-3m (166)

***

Entry from Alexandria: Y2Al3Ag4 after structural relaxation (PBE).

a b c (Å): 8.4307 8.4307 7.9362
angles (deg): 90.00 90.00 140.25
Element x y z (fractional)
Y (0.1033, 0.8967, 0.8995)
Y (0.3967, 0.6033, 0.3995)
Y (0.6033, 0.3967, 0.6005)
Y (0.8967, 0.1033, 0.1005)
Al (0.0000, 0.0000, 0.5000)
Al (0.0137, 0.4863, 0.7500)
Al (0.4863, 0.0137, 0.2500)
Al (0.5000, 0.5000, 0.0000)
Al (0.5137, 0.9863, 0.7500)
Al (0.9863, 0.5137, 0.2500)
Ag (0.1783, 0.8217, 0.5151)
Ag (0.1840, 0.3160, 0.7500)
Ag (0.3160, 0.1840, 0.2500)
Ag (0.3217, 0.6783, 0.0151)
Ag (0.6783, 0.3217, 0.9849)
Ag (0.6840, 0.8160, 0.7500)
Ag (0.8160, 0.6840, 0.2500)
Ag (0.8217, 0.1783, 0.4849)

Computed properties:
DOS(E_F): 4.957 states/eV/f.u.
ΔH_f (0 K): -268 kJ/mol of formula units
Final energy: -76.7 eV/cell
Space group: Cmce (64)

***

Entry from Alexandria: Rb3Dy3TmS8 after structural relaxation (PBE).

a b c (Å): 8.0405 8.0405 9.1092
angles (deg): 116.25 116.25 59.96
Element x y z (fractional)
Rb (0.0000, 0.0000, 0.0000)
Rb (0.0000, 0.5000, 0.0000)
Rb (0.5000, 0.0000, 0.0000)
Dy (0.0000, 0.5000, 0.5000)
Dy (0.5000, 0.0000, 0.5000)
Dy (0.5000, 0.5000, 0.5000)
Tm (0.0000, 0.0000, 0.5000)
S (0.2271, 0.2271, 0.6868)
S (0.2271, 0.7328, 0.6868)
S (0.2672, 0.7729, 0.3132)
S (0.2695, 0.2695, 0.3086)
S (0.7305, 0.7305, 0.6914)
S (0.7328, 0.2271, 0.6868)
S (0.7729, 0.2672, 0.3132)
S (0.7729, 0.7729, 0.3132)

Computed properties:
DOS(E_F): 11.046 states/eV/f.u.
Energy relative to the elements, uncorrected: -1.777 eV per atom
Final energy: -80.9 eV/cell
Space group: C2/m (12)